Pm4Nd4Sm: optimized geometry, PBE.

The structure in extended XYZ format:
```
9
Lattice="5.966 0.592 2.092 3.617 5.104 1.108 1.770 -2.446 11.761" Properties=species:S:1:pos:R:3 pbc="T T T"
Pm 6.048 2.654 4.509
Nd 8.564 2.267 10.325
Pm 5.305 0.596 10.451
Nd 3.343 3.731 2.282
Pm 5.857 3.342 8.095
Sm 2.983 0.296 1.046
Nd 2.790 0.984 4.635
Pm 5.497 -0.091 6.865
Nd 8.011 -0.480 12.678
```

Computed properties:
E = -4.742 eV/atom
N(E_F) = 14.40 states/eV/f.u.